Record 1
Density functional theory data (PBE) for crystalline Hf4GaCoN2 at its relaxed geometry.

abc: 3.1803 3.1803 13.5061
angles: 90.00 90.00 120.00
Space group P-6m2 (No. 187)
Symmetry-distinct sites (fractional):
Hf 0.0000 0.0000 0.1427 (multiplicity 2)
Hf 0.3333 0.6667 0.3361 (multiplicity 2)
Ga 0.0000 0.0000 0.5000 (multiplicity 1)
Co 0.3333 0.6667 0.0000 (multiplicity 1)
N 0.6667 0.3333 0.2413 (multiplicity 2)

Output
- Electronic total energy: -0.343 hartree per atom

---

Record 2
Density functional theory data (PBE) for crystalline Dy3Mg3IrPt2 at its relaxed geometry.

abc: 7.3100 7.3100 4.1006
angles: 90.00 90.00 120.00
Space group P-62m (No. 189)
Symmetry-distinct sites (fractional):
Dy 0.0000 0.5959 0.0000 (multiplicity 3)
Mg 0.0000 0.2435 0.5000 (multiplicity 3)
Ir 0.0000 0.0000 0.0000 (multiplicity 1)
Pt 0.3333 0.6667 0.5000 (multiplicity 2)

Output
- Electronic total energy: -0.193 hartree per atom

---

Record 3
Density functional theory data (PBE) for crystalline HgBr6 at its relaxed geometry.

abc: 6.8833 6.8833 14.7061
angles: 90.00 90.00 120.00
Space group R-3 (No. 148, hexagonal axes)
Symmetry-distinct sites (fractional):
Hg 0.0000 0.0000 0.0000 (multiplicity 3)
Br 0.0137 0.3182 0.4232 (multiplicity 18)

Output
- Electronic total energy: -0.046 hartree per atom

---

Record 4
Density functional theory data (PBE) for crystalline BeAgW2 at its relaxed geometry.

abc: 6.231 6.231 6.231
angles: 90.00 90.00 90.00
Space group F-43m (No. 216)
Symmetry-distinct sites (fractional):
Be 0.000 0.000 0.000 (multiplicity 4)
Ag 0.250 0.250 0.250 (multiplicity 4)
W 0.000 0.000 0.500 (multiplicity 4)
W 0.250 0.250 0.750 (multiplicity 4)

Output
- Electronic total energy: -0.273 hartree per atom

---

What is the formula in the first record? Hf4GaCoN2

---

Which value of electronic total energy does entry 4 give? -0.273 hartree per atom

---

electronic total energy of number 1 (Hf4GaCoN2)? -0.343 hartree per atom